Compound: Te2OsRh
Source: the Alexandria database
Functional: PBE
Structure: optimized geometry

a = 4.1162 Å, b = 4.1162 Å, c = 6.0478 Å
α = 90.00°, β = 90.00°, γ = 90.00°
Closest atoms and distances in Å follow each position.
Fractional coordinates of all 4 atoms:
Te  0.0000  0.5000  0.2381  2 Os 2.60, 2 Rh 2.60
Te  0.5000  0.0000  0.7619  2 Os 2.60, 2 Rh 2.60
Os  0.5000  0.5000  0.5000  4 Te 2.60
Rh  0.0000  0.0000  0.5000  4 Te 2.60

## Properties
**Space-group type**: P-4m2, No. 115
**Uncorrected formation energy**: -9.2 kJ/mol of formula units
**Volume**: 25.62 Å³/atom
**Total moment**: 0.00 μB/cell

Compound: Sr2Ac2Tl5
Source: the Alexandria database
Functional: PBE
Structure: optimized geometry

a = 9.7194 Å, b = 9.7194 Å, c = 8.8543 Å
α = 90.00°, β = 90.00°, γ = 54.55°
Closest atoms and distances in Å follow each position.
Fractional coordinates of all 18 atoms:
Sr  0.1994  0.1994  0.0000  7 Tl 3.42-3.62
Sr  0.3006  0.3006  0.5000  7 Tl 3.42-3.62
Sr  0.6994  0.6994  0.5000  7 Tl 3.42-3.62
Sr  0.8006  0.8006  0.0000  7 Tl 3.42-3.62
Ac  0.1568  0.8432  0.6571  8 Tl 3.34-3.55
Ac  0.3432  0.6568  0.1571  8 Tl 3.34-3.55
Ac  0.6568  0.3432  0.8429  8 Tl 3.34-3.55
Ac  0.8432  0.1568  0.3429  8 Tl 3.34-3.55
Tl  0.0000  0.0000  0.0000  4 Ac 3.34-3.36, 2 Sr 3.45
Tl  0.0101  0.7232  0.3528  3 Ac 3.39-3.55, 3 Sr 3.42-3.62, 1 Tl 3.65
Tl  0.2232  0.5101  0.8528  3 Ac 3.39-3.55, 3 Sr 3.42-3.62, 1 Tl 3.65
Tl  0.2768  0.9899  0.3528  3 Ac 3.39-3.55, 3 Sr 3.42-3.62, 1 Tl 3.65
Tl  0.4899  0.7768  0.8528  3 Ac 3.39-3.55, 3 Sr 3.42-3.62, 1 Tl 3.65
Tl  0.5000  0.5000  0.5000  4 Ac 3.34-3.36, 2 Sr 3.45
Tl  0.5101  0.2232  0.1472  3 Ac 3.39-3.55, 3 Sr 3.42-3.62, 1 Tl 3.65
Tl  0.7232  0.0101  0.6472  3 Ac 3.39-3.55, 3 Sr 3.42-3.62, 1 Tl 3.65
Tl  0.7768  0.4899  0.1472  3 Ac 3.39-3.55, 3 Sr 3.42-3.62, 1 Tl 3.65
Tl  0.9899  0.2768  0.6472  3 Ac 3.39-3.55, 3 Sr 3.42-3.62, 1 Tl 3.65

## Properties
**Space-group type**: Cmce, No. 64
**Volume**: 37.85 Å³/atom
**Total moment**: 0.00 μB/cell
**Energy relative to the elements**: -0.222 eV/atom

Compound: K2In3Hg4
Source: the Alexandria database
Functional: PBE
Structure: optimized geometry

a = 9.4511 Å, b = 9.4511 Å, c = 9.2977 Å
α = 90.00°, β = 90.00°, γ = 139.00°
Closest atoms and distances in Å follow each position.
Fractional coordinates of all 18 atoms:
K  0.1112  0.8888  0.9113  8 Hg 3.57-3.86, 4 In 3.75-3.94
K  0.3888  0.6112  0.4113  8 Hg 3.57-3.86, 4 In 3.75-3.94
K  0.6112  0.3888  0.5887  8 Hg 3.57-3.86, 4 In 3.75-3.94
K  0.8888  0.1112  0.0887  8 Hg 3.57-3.86, 4 In 3.75-3.94
In  0.0000  0.0000  0.5000  6 Hg 2.99-3.21
In  0.0316  0.4684  0.7500  5 Hg 2.99-3.18, 2 In 3.31
In  0.4684  0.0316  0.2500  5 Hg 2.99-3.18, 2 In 3.31
In  0.5000  0.5000  0.0000  6 Hg 2.99-3.21
In  0.5316  0.9684  0.7500  5 Hg 2.99-3.18, 2 In 3.31
In  0.9684  0.5316  0.2500  5 Hg 2.99-3.18, 2 In 3.31
Hg  0.1806  0.8194  0.5329  5 In 3.16-3.21
Hg  0.2003  0.2997  0.7500  3 In 2.99, 2 Hg 3.31
Hg  0.2997  0.2003  0.2500  3 In 2.99, 2 Hg 3.31
Hg  0.3194  0.6806  0.0329  5 In 3.16-3.21
Hg  0.6806  0.3194  0.9671  5 In 3.16-3.21
Hg  0.7003  0.7997  0.7500  3 In 2.99, 2 Hg 3.31
Hg  0.7997  0.7003  0.2500  3 In 2.99, 2 Hg 3.31
Hg  0.8194  0.1806  0.4671  5 In 3.16-3.21

## Properties
**Space-group type**: Cmce, No. 64
**Volume**: 30.27 Å³/atom
**Total moment**: 0.00 μB/cell
**Energy relative to the elements**: -0.167 eV/atom

Compound: Sm3ScCl
Source: the Alexandria database
Functional: PBE
Structure: optimized geometry

a = 5.3329 Å, b = 5.3329 Å, c = 5.3329 Å
α = 90.00°, β = 90.00°, γ = 90.00°
Closest atoms and distances in Å follow each position.
Fractional coordinates of all 5 atoms:
Sm  0.0000  0.0000  0.5000  2 Cl 2.67
Sm  0.0000  0.5000  0.0000  2 Cl 2.67
Sm  0.5000  0.0000  0.0000  2 Cl 2.67
Sc  0.5000  0.5000  0.5000  12 Sm 3.77
Cl  0.0000  0.0000  0.0000  6 Sm 2.67

## Properties
**Space-group type**: Pm-3m, No. 221
**Uncorrected formation energy**: -199.0 kJ/mol of formula units
**Volume**: 30.33 Å³/atom
**Total moment**: 0.00 μB/cell

Compound: SmYGeRh
Source: the Alexandria database
Functional: PBE
Structure: optimized geometry

a = 5.0126 Å, b = 5.0126 Å, c = 5.0126 Å
α = 60.00°, β = 60.00°, γ = 60.00°
Closest atoms and distances in Å follow each position.
Fractional coordinates of all 4 atoms:
Sm  0.0000  0.0000  0.0000  4 Ge 3.07, 4 Rh 3.07
Y  0.5000  0.5000  0.5000  4 Ge 3.07, 4 Rh 3.07
Ge  0.7500  0.7500  0.7500  4 Y 3.07, 4 Sm 3.07
Rh  0.2500  0.2500  0.2500  4 Sm 3.07, 4 Y 3.07

## Properties
**Space-group type**: F-43m, No. 216
**Volume**: 22.26 Å³/atom
**Total moment**: 0.00 μB/cell
**Energy relative to the elements**: -0.693 eV/atom

Compound: Dy4Te3O2
Source: the Alexandria database
Functional: PBE
Structure: optimized geometry

a = 6.9927 Å, b = 6.9927 Å, c = 8.6659 Å
α = 103.08°, β = 103.08°, γ = 30.98°
Closest atoms and distances in Å follow each position.
Fractional coordinates of all 9 atoms:
Dy  0.0830  0.0830  0.1926  2 O 2.61
Dy  0.3189  0.3189  0.4028  3 O 2.31-2.41
Dy  0.6811  0.6811  0.5972  3 O 2.31-2.41
Dy  0.9170  0.9170  0.8074  2 O 2.61
Te  0.0000  0.0000  0.5000  6 Dy 3.03-3.12
Te  0.3899  0.3899  0.0835  5 Dy 3.12-3.16
Te  0.6101  0.6101  0.9165  5 Dy 3.12-3.16
O  0.2963  0.2963  0.6594  3 Dy 2.31-2.41
O  0.7037  0.7037  0.3406  3 Dy 2.31-2.41

## Properties
**Space-group type**: C2/m, No. 12
**Uncorrected formation energy**: -1645.7 kJ/mol of formula units
**Volume**: 23.56 Å³/atom
**Total moment**: 0.00 μB/cell

Compound: KMgI3
Source: the Alexandria database
Functional: PBE
Structure: optimized geometry

a = 6.3684 Å, b = 6.3684 Å, c = 6.3684 Å
α = 90.00°, β = 90.00°, γ = 90.00°
Closest atoms and distances in Å follow each position.
Fractional coordinates of all 5 atoms:
K  0.0000  0.0000  0.0000  6 I 3.18
Mg  0.5000  0.5000  0.5000  12 I 4.50
I  0.0000  0.0000  0.5000  2 K 3.18
I  0.0000  0.5000  0.0000  2 K 3.18
I  0.5000  0.0000  0.0000  2 K 3.18

## Properties
**Space-group type**: Pm-3m, No. 221
**Uncorrected formation energy**: -79.2 kJ/mol of formula units
**Volume**: 51.66 Å³/atom
**Total moment**: 0.00 μB/cell

Compound: Li2LaTa
Source: the Alexandria database
Functional: PBE
Structure: optimized geometry

a = 5.4925 Å, b = 5.4925 Å, c = 5.4925 Å
α = 133.34°, β = 133.34°, γ = 68.12°
Closest atoms and distances in Å follow each position.
Fractional coordinates of all 4 atoms:
Li  0.2500  0.7500  0.5000  4 Li 3.08, 4 Ta 3.15, 4 La 3.15
Li  0.7500  0.2500  0.5000  4 Li 3.08, 4 Ta 3.15, 4 La 3.15
La  0.0000  0.0000  0.0000  4 Ta 3.08, 8 Li 3.15
Ta  0.5000  0.5000  0.0000  4 La 3.08, 8 Li 3.15

## Properties
**Space-group type**: I4/mmm, No. 139
**Volume**: 21.53 Å³/atom
**Total moment**: 0.00 μB/cell
**Energy relative to the elements**: 0.625 eV/atom

Compound: CeTmGa2Pd5
Source: the Alexandria database
Functional: PBE
Structure: optimized geometry

a = 4.2097 Å, b = 4.2097 Å, c = 9.2671 Å
α = 90.00°, β = 90.00°, γ = 90.00°
Closest atoms and distances in Å follow each position.
Fractional coordinates of all 9 atoms:
Ce  0.0000  0.0000  0.0000  12 Pd 2.95-2.98
Tm  0.0000  0.0000  0.5000  8 Ga 3.22, 8 Pd 3.32
Ga  0.5000  0.5000  0.3684  1 Ga 2.44, 4 Pd 2.50
Ga  0.5000  0.5000  0.6316  1 Ga 2.44, 4 Pd 2.50
Pd  0.0000  0.5000  0.2226  2 Ga 2.50
Pd  0.0000  0.5000  0.7774  2 Ga 2.50
Pd  0.5000  0.0000  0.2226  2 Ga 2.50
Pd  0.5000  0.0000  0.7774  2 Ga 2.50
Pd  0.5000  0.5000  0.0000  8 Pd 2.95, 4 Ce 2.98

## Properties
**Space-group type**: P4/mmm, No. 123
**Volume**: 18.25 Å³/atom
**Total moment**: 0.31 μB/cell
**Energy relative to the elements**: -0.762 eV/atom